1.
! Ca3ThCd4 (GGA-PBE, relaxed); values from VASP
&SYSTEM
  ibrav = 0, nat = 8, ntyp = 3
/
ATOMIC_SPECIES
Ca 40.08 Ca.upf
Th 232.04 Th.upf
Cd 112.41 Cd.upf
CELL_PARAMETERS angstrom
2.7130 1.5664 8.8800
-2.7130 1.5664 8.8800
0.0000 -3.1327 8.8800
ATOMIC_POSITIONS crystal
Ca 0.0000 0.0000 0.0000
Ca 0.2512 0.2512 0.2512
Ca 0.7488 0.7488 0.7488
Th 0.5000 0.5000 0.5000
Cd 0.1249 0.1249 0.1249
Cd 0.3759 0.3759 0.3759
Cd 0.6241 0.6241 0.6241
Cd 0.8751 0.8751 0.8751
! - Symmetry: R-3m, No. 166
! - Size of the total moment: 0.0000 μB per atom
! - Raw total energy: -19.22 eV/cell
! - Fermi-level density of states: 0.951 states/eV per atom

***

2.
! BeCdS (GGA-PBE, relaxed); values from VASP
&SYSTEM
  ibrav = 0, nat = 6, ntyp = 3
/
ATOMIC_SPECIES
Be 9.01 Be.upf
Cd 112.41 Cd.upf
S 32.06 S.upf
CELL_PARAMETERS angstrom
2.9710 -1.6568 0.0000
2.9710 1.6568 0.0000
-1.2031 0.0000 11.0306
ATOMIC_POSITIONS crystal
Be 0.0000 0.0000 0.0000
Be 0.6179 0.6179 0.7400
Cd 0.1221 0.1221 0.5281
Cd 0.7476 0.7476 0.3051
S 0.6825 0.6825 0.0621
S 0.9593 0.9593 0.8032
! - Symmetry: Cm, No. 8
! - Size of the total moment: 0.0000 μB per atom
! - Formation energy (no corrections): -0.520 eV/atom
! - Fermi-level density of states: 0.138 states/eV per atom

***

3.
! MnBSe3 (GGA-PBE, relaxed); values from VASP
&SYSTEM
  ibrav = 0, nat = 5, ntyp = 3
/
ATOMIC_SPECIES
Mn 54.94 Mn.upf
B 10.81 B.upf
Se 78.96 Se.upf
CELL_PARAMETERS angstrom
4.6741 0.0000 0.0000
0.0000 4.6741 0.0000
0.0000 0.0000 4.6741
ATOMIC_POSITIONS crystal
Mn 0.0000 0.0000 0.0000
B 0.5000 0.5000 0.5000
Se 0.0000 0.0000 0.5000
Se 0.0000 0.5000 0.0000
Se 0.5000 0.0000 0.0000
! - Symmetry: Pm-3m, No. 221
! - Size of the total moment: 0.0000 μB per atom
! - Formation energy (no corrections): 1.159 eV/atom
! - Offset from the most stable computed form: 57.7 meV/atom
! - Fermi-level density of states: 1.366 states/eV per atom

***

4.
! LaNbTcC3 (GGA-PBE, relaxed); values from VASP
&SYSTEM
  ibrav = 0, nat = 12, ntyp = 4
/
ATOMIC_SPECIES
La 138.91 La.upf
Nb 92.91 Nb.upf
Tc 98.00 Tc.upf
C 12.01 C.upf
CELL_PARAMETERS angstrom
7.3748 0.0000 0.0000
0.0000 3.3408 0.0000
-1.5871 0.0000 7.8003
ATOMIC_POSITIONS crystal
La 0.1809 0.2500 0.1925
La 0.8191 0.7500 0.8075
Nb 0.3643 0.7500 0.8710
Nb 0.6357 0.2500 0.1290
Tc 0.1128 0.2500 0.6064
Tc 0.8872 0.7500 0.3936
C 0.1416 0.2500 0.8547
C 0.1722 0.7500 0.4925
C 0.4367 0.7500 0.1339
C 0.5633 0.2500 0.8661
C 0.8278 0.2500 0.5075
C 0.8584 0.7500 0.1453
! - Symmetry: P2_1/m, No. 11
! - Size of the total moment: 0.0000 μB per atom
! - Raw total energy: -105.39 eV/cell
! - Fermi-level density of states: 0.574 states/eV per atom

***

5.
! Tl2WAu (GGA-PBE, relaxed); values from VASP
&SYSTEM
  ibrav = 0, nat = 4, ntyp = 3
/
ATOMIC_SPECIES
Tl 204.38 Tl.upf
W 183.84 W.upf
Au 196.97 Au.upf
CELL_PARAMETERS angstrom
-2.1083 2.1083 4.6831
2.1083 -2.1083 4.6831
2.1083 2.1083 -4.6831
ATOMIC_POSITIONS crystal
Tl 0.2500 0.7500 0.5000
Tl 0.7500 0.2500 0.5000
W 0.0000 0.0000 0.0000
Au 0.5000 0.5000 0.0000
! - Symmetry: I4/mmm, No. 139
! - Size of the total moment: 0.1543 μB per atom
! - Offset from the most stable computed form: 384.5 meV/atom
! - Fermi-level density of states: 1.004 states/eV per atom

***

6.
! V3Ni3Ir2 (GGA-PBE, relaxed); values from VASP
&SYSTEM
  ibrav = 0, nat = 8, ntyp = 3
/
ATOMIC_SPECIES
V 50.94 V.upf
Ni 58.69 Ni.upf
Ir 192.22 Ir.upf
CELL_PARAMETERS angstrom
-1.9058 1.9161 6.9557
1.9058 -1.9161 6.9557
1.9058 1.9161 -6.9557
ATOMIC_POSITIONS crystal
V 0.0000 0.0000 0.0000
V 0.1251 0.6251 0.5000
V 0.8749 0.3749 0.5000
Ni 0.3825 0.8825 0.5000
Ni 0.5000 0.5000 0.0000
Ni 0.6175 0.1175 0.5000
Ir 0.2501 0.2501 0.0000
Ir 0.7499 0.7499 0.0000
! - Symmetry: Immm, No. 71
! - Size of the total moment: 0.0001 μB per atom
! - Raw total energy: -64.54 eV/cell
! - Fermi-level density of states: 1.063 states/eV per atom

***

7.
! BeHgPt3 (GGA-PBE, relaxed); values from VASP
&SYSTEM
  ibrav = 0, nat = 5, ntyp = 3
/
ATOMIC_SPECIES
Be 9.01 Be.upf
Hg 200.59 Hg.upf
Pt 195.08 Pt.upf
CELL_PARAMETERS angstrom
5.0015 0.0000 0.0000
0.0000 5.0015 0.0000
0.0000 0.0000 5.0015
ATOMIC_POSITIONS crystal
Be 0.0000 0.0000 0.0000
Hg 0.5000 0.5000 0.5000
Pt 0.0000 0.5000 0.5000
Pt 0.5000 0.0000 0.5000
Pt 0.5000 0.5000 0.0000
! - Symmetry: Pm-3m, No. 221
! - Size of the total moment: 0.0000 μB per atom
! - Offset from the most stable computed form: 2055.9 meV/atom
! - Fermi-level density of states: 0.557 states/eV per atom

***

8.
! ZrMnBe (GGA-PBE, relaxed); values from VASP
&SYSTEM
  ibrav = 0, nat = 3, ntyp = 3
/
ATOMIC_SPECIES
Zr 91.22 Zr.upf
Mn 54.94 Mn.upf
Be 9.01 Be.upf
CELL_PARAMETERS angstrom
-1.5503 1.5503 4.3540
1.5503 -1.5503 4.3540
1.5503 1.5503 -4.3540
ATOMIC_POSITIONS crystal
Zr 0.0000 0.0000 0.0000
Mn 0.6987 0.6987 0.0000
Be 0.3023 0.3023 0.0000
! - Symmetry: I4mm, No. 107
! - Size of the total moment: 0.3407 μB per atom
! - Offset from the most stable computed form: 195.2 meV/atom
! - Fermi-level density of states: 0.575 states/eV per atom